1.
VASP calculation (PBE) on a relaxed AgWI2 crystal.

Its formation energy from raw total energies is 1120 meV/atom.

The structure in POSCAR format:
```
AgWI2
1.0
-5.103 2.628 -3.371
0.739 -4.629 -4.726
-5.828 -4.462 -1.228
W Ag I
2 2 4
direct
0.750 0.250 0.500 W
0.000 0.000 0.000 W
0.250 0.750 0.500 Ag
0.500 0.500 0.000 Ag
0.875 0.906 0.750 I
0.375 0.344 0.750 I
0.656 0.125 0.250 I
0.094 0.625 0.250 I
```


2.
VASP calculation (PBE) on a relaxed Te6MoW3S2 crystal.

Its formation energy from raw total energies is -254 meV/atom.

The structure in POSCAR format:
```
Te6MoW3S2
1.0
1.727 -2.990 0.000
1.727 2.990 0.000
0.000 0.000 36.448
W Te S Mo
3 6 2 1
direct
0.333 0.667 0.683 W
0.000 0.000 0.483 W
0.333 0.667 0.273 W
0.333 0.667 0.534 Te
0.333 0.667 0.013 Te
0.000 0.000 0.222 Te
0.333 0.667 0.432 Te
0.333 0.667 0.115 Te
0.000 0.000 0.324 Te
0.000 0.000 0.643 S
0.000 0.000 0.724 S
0.000 0.000 0.064 Mo
```


3.
VASP calculation (PBE) on a relaxed PmThAlSn crystal.

The value obtained for the formation energy is -128 kJ/mol of formula units.

The structure in POSCAR format:
```
PmThAlSn
1.0
-1.281 5.222 0.210
-4.978 1.602 -1.268
-3.306 1.807 3.842
Sn Pm Th Al
1 1 1 1
direct
0.750 0.750 0.750 Sn
0.000 0.000 0.000 Pm
0.500 0.500 0.500 Th
0.250 0.250 0.250 Al
```


4.
VASP calculation (PBE) on a relaxed Pm6PtN3 crystal.

Its formation energy from raw total energies is -986 meV/atom.

The structure in POSCAR format:
```
Pm6PtN3
1.0
-0.652 3.564 -0.351
-3.293 0.628 12.506
10.508 1.666 -2.605
Pm Pt N
12 2 6
direct
0.750 0.720 0.249 Pm
0.250 0.582 0.398 Pm
0.750 0.418 0.602 Pm
0.250 0.280 0.751 Pm
0.750 0.420 0.066 Pm
0.750 0.927 0.075 Pm
0.750 0.769 0.732 Pm
0.250 0.889 0.544 Pm
0.250 0.580 0.934 Pm
0.250 0.231 0.268 Pm
0.750 0.111 0.456 Pm
0.250 0.073 0.925 Pm
0.750 0.078 0.712 Pt
0.250 0.922 0.288 Pt
0.250 0.566 0.157 N
0.750 0.124 0.116 N
0.750 0.434 0.843 N
0.250 0.876 0.884 N
0.750 0.726 0.482 N
0.250 0.274 0.518 N
```


5.
VASP calculation (PBE) on a relaxed GaIrS2 crystal.

Its formation energy from raw total energies is -185 meV/atom.

The structure in POSCAR format:
```
GaIrS2
1.0
2.059 0.000 7.740
-1.030 1.783 7.740
-1.030 -1.783 7.740
S Ga Ir
2 1 1
direct
0.116 0.116 0.116 S
0.884 0.884 0.884 S
0.000 0.000 0.000 Ga
0.500 0.500 0.500 Ir
```


6.
VASP calculation (PBE) on a relaxed K3RbBe2F8 crystal.

Its formation energy from raw total energies is -3038 meV/atom.

The structure in POSCAR format:
```
K3RbBe2F8
1.0
5.739 0.000 0.000
-2.869 4.970 0.000
0.000 0.000 8.707
F Be Rb K
8 2 1 3
direct
0.369 0.185 0.733 F
0.333 0.667 0.028 F
0.667 0.333 0.972 F
0.815 0.631 0.733 F
0.631 0.815 0.267 F
0.185 0.369 0.267 F
0.185 0.815 0.267 F
0.815 0.185 0.733 F
0.333 0.667 0.207 Be
0.667 0.333 0.793 Be
0.000 0.000 0.500 Rb
0.333 0.667 0.745 K
0.000 0.000 0.000 K
0.667 0.333 0.255 K
```


7.
VASP calculation (PBE) on a relaxed Na2BO2F crystal.

Its formation energy from raw total energies is -2262 meV/atom.

The structure in POSCAR format:
```
Na2BO2F
1.0
5.142 0.000 0.000
0.000 5.909 0.000
0.000 -2.955 5.031
B Na O F
2 4 4 2
direct
0.745 0.798 0.000 B
0.245 0.202 0.000 B
0.246 0.516 0.677 Na
0.246 0.838 0.323 Na
0.746 0.484 0.323 Na
0.746 0.162 0.677 Na
0.745 0.585 0.755 O
0.245 0.415 0.245 O
0.745 0.830 0.245 O
0.245 0.170 0.755 O
0.245 0.949 0.000 F
0.745 0.051 0.000 F
```


8.
VASP calculation (PBE) on a relaxed LiCa2SiIr crystal.

Its formation energy from raw total energies is -263 meV/atom.

The structure in POSCAR format:
```
LiCa2SiIr
1.0
5.562 0.000 0.000
0.000 5.562 0.000
0.000 0.000 4.589
Li Ca Ir Si
1 2 1 1
direct
0.500 0.500 0.500 Li
0.000 0.500 0.000 Ca
0.500 0.000 0.000 Ca
0.000 0.000 0.000 Ir
0.000 0.000 0.500 Si
```


| no. | final energy (eV/atom) |
| --- | --- |
| 1 | -3.61 |
| 2 | -6.65 |
| 3 | -5.31 |
| 4 | -6.94 |
| 5 | -5.22 |
| 6 | -4.94 |
| 7 | -5.78 |
| 8 | -4.30 |